(1)
72
Lattice="10.397 0.000 0.000 0.000 8.932 0.000 -7.106 0.000 10.804" Properties=species:S:1:pos:R:3 comment="CsErP4O12 | Alexandria | PBE | optimized geometry" space_group=P2_1/c pbc="T T T"
Cs 2.006 0.574 0.416
Cs -1.547 3.892 5.818
Cs 4.839 5.040 4.986
Cs 1.286 8.358 10.388
Er -2.539 6.477 8.835
Er 1.014 6.920 3.433
Er 2.277 2.011 7.371
Er 5.830 2.455 1.969
P -1.701 0.263 3.108
P -5.254 4.203 8.510
P 1.905 5.460 0.293
P -1.648 7.938 5.695
P 0.808 1.546 4.005
P -2.745 2.920 9.407
P -1.208 0.788 8.040
P 2.345 3.678 2.638
P 0.946 5.254 8.166
P 4.499 8.144 2.764
P 6.036 6.012 1.397
P 2.483 7.386 6.799
P 4.939 0.994 5.109
P 1.386 3.472 10.511
P 8.545 4.729 2.294
P 4.992 8.669 7.696
O -5.989 4.861 9.808
O -2.436 8.537 4.406
O -4.328 5.196 7.854
O -0.775 8.201 2.453
O -0.789 5.346 3.144
O -4.342 8.052 8.546
O -0.802 1.444 3.779
O -4.355 3.022 9.180
O 1.015 6.375 1.083
O -2.538 7.023 6.485
O -1.424 0.407 6.490
O 2.129 4.059 1.088
O -2.425 1.854 8.216
O 1.128 2.612 2.814
O -3.894 6.003 10.604
O -0.341 7.395 5.203
O 1.471 0.249 3.649
O -2.082 4.216 9.051
O 2.082 4.877 3.501
O -1.471 8.521 8.903
O 1.010 2.171 5.348
O -2.543 2.295 10.749
O -0.346 5.994 8.020
O 3.207 7.404 2.618
O 0.085 1.528 8.186
O 3.638 2.938 2.784
O 5.834 6.637 0.054
O 2.282 6.760 5.456
O 4.762 0.411 1.901
O 1.209 4.055 7.303
O 5.374 4.715 1.752
O 1.821 8.682 7.154
O 3.632 1.537 5.601
O 7.185 2.929 0.199
O 2.164 6.320 7.990
O 5.717 7.078 2.588
O 1.163 4.873 9.716
O 4.716 8.525 4.314
O 5.830 1.909 4.319
O 2.277 2.557 9.721
O 7.646 5.910 1.623
O 4.093 7.488 7.025
O 7.633 0.880 2.258
O 4.080 3.586 7.660
O 4.067 0.731 8.351
O 7.620 3.735 2.949
O 5.727 0.395 6.398
O 9.280 4.071 0.996

(2)
15
Lattice="6.330 0.000 0.000 -3.165 5.482 0.000 0.000 0.000 7.724" Properties=species:S:1:pos:R:3 comment="Cs3ErPa2O9 | Alexandria | PBE | optimized geometry" space_group=P-3m1 pbc="T T T"
Cs 0.000 0.000 0.000
Cs 0.000 3.655 5.133
Cs 3.165 1.827 2.591
Er 0.000 0.000 3.862
Pa 0.000 3.655 1.314
Pa 3.165 1.827 6.410
O -1.583 2.741 0.000
O 0.000 1.887 2.537
O -1.531 4.539 2.537
O 1.634 0.943 5.188
O 3.165 0.000 0.000
O 1.583 2.741 0.000
O 1.531 4.539 2.537
O 4.696 0.943 5.188
O 3.165 3.595 5.188

(3)
10
Lattice="0.000 4.474 4.474 4.474 0.000 4.474 4.474 4.474 0.000" Properties=species:S:1:pos:R:3 comment="Cs2ErPaO6 | Alexandria | PBE | optimized geometry" space_group=Fm-3m pbc="T T T"
Cs 2.237 2.237 2.237
Cs 6.711 6.711 6.711
Er 0.000 0.000 0.000
Pa 4.474 4.474 4.474
O 4.474 4.474 2.293
O 4.474 2.293 4.474
O 6.655 4.474 4.474
O 2.293 4.474 4.474
O 4.474 6.655 4.474
O 4.474 4.474 6.655

(4)
12
Lattice="7.474 0.000 0.000 0.000 3.541 0.000 -1.041 0.000 10.117" Properties=species:S:1:pos:R:3 comment="CsErPbO3 | Alexandria | PBE | optimized geometry" space_group=P2_1/m pbc="T T T"
Cs 0.696 0.885 1.880
Cs 5.738 2.656 8.238
Er 2.176 0.885 8.781
Er 4.257 2.656 1.336
Pb 1.446 2.656 5.928
Pb 4.987 0.885 4.189
O 0.545 0.885 7.090
O 1.473 2.656 10.041
O 2.950 2.656 7.515
O 3.483 0.885 2.602
O 4.961 0.885 0.076
O 5.888 2.656 3.028

(5)
12
Lattice="6.547 -1.959 0.000 6.547 1.959 0.000 -1.894 0.000 7.998" Properties=species:S:1:pos:R:3 comment="CsErPdO3 | Alexandria | PBE | optimized geometry" space_group=C2/m pbc="T T T"
Cs 1.743 0.000 0.548
Cs 9.457 0.000 7.450
Er 0.888 0.000 4.533
Er 10.312 0.000 3.465
Pd 5.087 0.000 5.582
Pd 6.113 0.000 2.415
O -0.535 0.000 2.733
O 3.085 0.000 4.915
O 4.088 0.000 2.129
O 7.112 0.000 5.869
O 8.115 0.000 3.083
O 11.735 0.000 5.265

(6)
16
Lattice="3.637 2.100 6.925 -3.637 2.100 6.925 0.000 -4.200 6.925" Properties=species:S:1:pos:R:3 comment="Cs4Pm3ErO8 | Alexandria | PBE | optimized geometry" space_group=R-3m pbc="T T T"
Cs 0.000 0.000 0.000
Cs -1.819 -1.050 6.925
Cs -1.819 1.050 13.851
Cs 0.000 2.100 6.925
Pm -3.637 0.000 10.388
Pm -1.819 1.050 3.463
Pm 1.819 1.050 3.463
Er 0.000 0.000 10.388
O 0.000 0.000 4.626
O -1.768 -1.021 11.541
O 0.000 -2.041 9.235
O -1.768 1.021 9.235
O 1.768 -1.021 11.541
O 0.000 2.041 11.541
O 1.768 1.021 9.235
O 0.000 0.000 16.150

(7)
16
Lattice="3.686 2.128 6.945 -3.686 2.128 6.945 0.000 -4.256 6.945" Properties=species:S:1:pos:R:3 comment="Cs4Pr3ErO8 | Alexandria | PBE | optimized geometry" space_group=R-3m pbc="T T T"
Cs 0.000 0.000 0.000
Cs -1.843 -1.064 6.945
Cs -1.843 1.064 13.889
Cs 0.000 2.128 6.945
Pr -3.686 0.000 10.417
Pr -1.843 1.064 3.472
Pr 1.843 1.064 3.472
Er 0.000 0.000 10.417
O 0.000 0.000 4.658
O -1.770 -1.022 11.584
O 0.000 -2.044 9.250
O -1.770 1.022 9.250
O 1.770 -1.022 11.584
O 0.000 2.044 11.584
O 1.770 1.022 9.250
O 0.000 0.000 16.176

(8)
20
Lattice="-4.379 4.379 4.379 4.379 -4.379 4.379 4.379 4.379 -4.379" Properties=species:S:1:pos:R:3 comment="Cs4ErPu3O12 | Alexandria | PBE | optimized geometry" space_group=Im-3m pbc="T T T"
Cs 2.190 2.190 -2.190
Cs 2.190 -2.190 2.190
Cs -2.190 2.190 2.190
Cs 2.190 2.190 2.190
Er 0.000 0.000 0.000
Pu 4.379 0.000 0.000
Pu 0.000 4.379 0.000
Pu 0.000 0.000 4.379
O 2.341 0.000 0.000
O 6.417 0.000 0.000
O 4.379 2.190 0.000
O 4.379 0.000 2.190
O 0.000 2.341 0.000
O 0.000 0.000 2.341
O 2.190 4.379 0.000
O 2.190 0.000 4.379
O 0.000 6.417 0.000
O 0.000 0.000 6.417
O 0.000 4.379 2.190
O 0.000 2.190 4.379

For the records above, the corresponding formation energy without anion corrections values read -2.46; -2.69; -2.51; -2.19; -1.94; -2.56; -2.51; -2.47 eV/atom.
For the records above, the corresponding spin magnetization values read 0.00; 2.11; 2.07; 0.00; 0.00; 0.00; 0.00; 7.00 Bohr magnetons per cell.